# Tb7Pr12Sm2 (PBE, optimized geometry)
# - Energy of formation from the pure elements: 4.2 kJ/mol of atoms
# - Calculated total energy: -98.3 eV for the cell shown
# - V: 728 Å³/cell
data_Tb7Pr12Sm2
_chemical_formula_sum 'Tb7 Pr12 Sm2'
_cell_length_a 15.2496
_cell_length_b 15.2496
_cell_length_c 3.6145
_cell_angle_alpha 90.00
_cell_angle_beta 90.00
_cell_angle_gamma 120.00
_symmetry_space_group_name_H-M 'P -6'
_symmetry_Int_Tables_number 174
_symmetry_space_group_name_Hall 'P -6'
loop_
_atom_site_label
_atom_site_type_symbol
_atom_site_fract_x
_atom_site_fract_y
_atom_site_fract_z
_atom_site_occupancy
Tb1 Tb 0.0000 0.0000 0.0000 1
Tb2 Tb 0.1461 0.7115 0.5000 1
Tb3 Tb 0.4322 0.1446 0.0000 1
Pr1 Pr 0.0709 0.2526 0.0000 1
Pr2 Pr 0.0803 0.4648 0.5000 1
Pr3 Pr 0.2364 0.1716 0.5000 1
Pr4 Pr 0.4612 0.3781 0.0000 1
Sm1 Sm 0.3333 0.6667 0.0000 1
Sm2 Sm 0.6667 0.3333 0.5000 1